TiFeSn3 | GGA-PBE | optimized geometry

```
TiFeSn3
1.0
-1.658 -4.565 -0.636
3.907 -1.751 2.378
-2.444 0.298 4.234
Ti Sn Fe
1 3 1
Cartesian
-0.097 -3.009 2.988
1.954 -0.875 1.189
-1.222 0.149 2.117
-0.829 -2.282 -0.318
0.000 0.000 0.000
```

## Properties
The value obtained for the energy of formation is 0.520 eV per atom. The value obtained for the excess energy over the best structure of this formula in the dataset is 0.0 kJ per mole of atoms.